No. 1
Computed, not measured: a geometry-optimized Pr2NdSb structure at the PBE-GGA level of DFT.

Unit cell a=4.9526 b=4.9526 c=4.9683 alpha=90.00 beta=90.00 gamma=90.00
Fractional coordinates of all 4 atoms:
Pr: 0.0000 0.5000 0.0000
Pr: 0.5000 0.0000 0.0000
Nd: 0.0000 0.0000 0.5000
Sb: 0.5000 0.5000 0.5000

- Distance to the lowest polymorph of the same formula: 0.011 eV/atom
- D(E_F): 4.09 states/eV/cell

***

No. 2
Computed, not measured: a geometry-optimized Pr2Nd2Sb5 structure at the PBE-GGA level of DFT.

Unit cell a=9.1798 b=9.1798 c=8.4048 alpha=90.00 beta=90.00 gamma=53.51
Fractional coordinates of all 18 atoms:
Pr: 0.1607 0.8393 0.8364
Pr: 0.3393 0.6607 0.3364
Pr: 0.6607 0.3393 0.6636
Pr: 0.8393 0.1607 0.1636
Nd: 0.1893 0.1893 0.5000
Nd: 0.3107 0.3107 0.0000
Nd: 0.6893 0.6893 0.0000
Nd: 0.8107 0.8107 0.5000
Sb: 0.0000 0.0000 0.5000
Sb: 0.0032 0.2776 0.8621
Sb: 0.2224 0.4968 0.6379
Sb: 0.2776 0.0032 0.1379
Sb: 0.4968 0.2224 0.3621
Sb: 0.5000 0.5000 0.0000
Sb: 0.5032 0.7776 0.6379
Sb: 0.7224 0.9968 0.8621
Sb: 0.7776 0.5032 0.3621
Sb: 0.9968 0.7224 0.1379

- D(E_F): 14.03 states/eV/cell
- Raw total energy: -5.338 eV/atom

***

No. 3
Computed, not measured: a geometry-optimized PrNdSb2 structure at the PBE-GGA level of DFT.

Unit cell a=10.1539 b=10.1539 c=7.8670 alpha=104.97 beta=104.97 gamma=126.84
Fractional coordinates of all 16 atoms:
Pr: 0.0627 0.9373 0.7500
Pr: 0.3121 0.6879 0.7500
Pr: 0.6879 0.3121 0.2500
Pr: 0.9373 0.0627 0.2500
Nd: 0.1873 0.8127 0.2500
Nd: 0.4378 0.5622 0.2500
Nd: 0.5622 0.4378 0.7500
Nd: 0.8127 0.1873 0.7500
Sb: 0.0636 0.4385 0.2485
Sb: 0.1882 0.3133 0.7514
Sb: 0.3133 0.1882 0.2514
Sb: 0.4385 0.0636 0.7485
Sb: 0.5615 0.9364 0.2515
Sb: 0.6867 0.8118 0.7486
Sb: 0.8118 0.6867 0.2486
Sb: 0.9364 0.5615 0.7515

- Distance to the lowest polymorph of the same formula: 0.000 eV/atom
- D(E_F): 2.20 states/eV/cell